(1)
Ir4PtAu | PBE-GGA | relaxed

Output
The value obtained for the formation energy is 661.5 meV/atom. For the density of states at the Fermi level, the calculation gives 12.3 states/eV/cell.

```
6
Lattice="0.0000 3.6674 3.6674 3.6674 0.0000 3.6674 3.6674 3.6674 0.0000" Properties=species:S:1:pos:R:3 pbc="T T T"
Ir 0.9163 0.9163 0.9163
Ir 2.7511 2.7511 0.9163
Ir 2.7511 0.9163 2.7511
Ir 0.9163 2.7511 2.7511
Pt 5.5011 5.5011 5.5011
Au 3.6674 3.6674 3.6674
```



(2)
Fe3C | PBE-GGA | relaxed

Output
The value obtained for the formation energy is 53.2 meV/atom. For the density of states at the Fermi level, the calculation gives 11.3 states/eV/cell.

```
16
Lattice="5.0403 0.0000 0.0000 0.0000 6.7358 0.0000 0.0000 0.0000 4.4769" Properties=species:S:1:pos:R:3 pbc="T T T"
Fe 0.1801 1.6839 0.7271
Fe 0.8899 0.4580 2.9911
Fe 0.8899 2.9099 2.9911
Fe 1.6302 3.8259 0.7526
Fe 1.6302 6.2778 0.7526
Fe 2.3401 5.0518 2.9656
Fe 2.7003 1.6839 1.5113
Fe 3.4101 0.4580 3.7243
Fe 3.4101 2.9099 3.7243
Fe 4.1504 3.8259 1.4858
Fe 4.1504 6.2778 1.4858
Fe 4.8602 5.0518 3.7498
C 0.6207 5.0518 1.9593
C 1.8995 1.6839 4.1978
C 3.1409 5.0518 0.2791
C 4.4196 1.6839 2.5176
```



(3)
Tb8Ho2Er | PBE-GGA | relaxed

Output
The value obtained for the formation energy is 167.6 meV/atom. For the density of states at the Fermi level, the calculation gives 14.2 states/eV/cell. For the polymorph energy (0 for the lowest one), the calculation gives 0.0124 eV/atom.

```
11
Lattice="8.8189 -3.5687 0.0000 8.8189 3.5687 0.0000 -1.9123 0.0000 5.6503" Properties=species:S:1:pos:R:3 pbc="T T T"
Tb -0.3158 0.0000 1.3950
Tb 5.9244 1.5770 2.0204
Tb 3.7655 0.0000 4.3937
Tb 9.8010 1.5770 3.6300
Tb 5.9244 -1.5770 2.0204
Tb 11.9599 0.0000 1.2567
Tb 9.8010 -1.5770 3.6300
Tb 16.0413 0.0000 4.2554
Ho 3.0206 0.0000 0.9880
Ho 12.7049 0.0000 4.6624
Er 8.8189 0.0000 0.0000
```



(4)
KSe3Br | PBE-GGA | relaxed

Output
The uncorrected formation energy comes out at 0.185 eV/atom. For the density of states at the Fermi level, the calculation gives 4.8 states/eV/cell. For the polymorph energy (0 for the lowest one), the calculation gives 0.0000 eV/atom.

```
5
Lattice="5.3491 0.0000 0.0000 0.0000 5.3491 0.0000 0.0000 0.0000 5.3491" Properties=species:S:1:pos:R:3 pbc="T T T"
K 0.0000 0.0000 0.0000
Se 0.0000 2.6746 2.6746
Se 2.6746 0.0000 2.6746
Se 2.6746 2.6746 0.0000
Br 2.6746 2.6746 2.6746
```



(5)
Pu2Cu2Si | PBE-GGA | relaxed

Output
The uncorrected formation energy comes out at -0.183 eV/atom. For the density of states at the Fermi level, the calculation gives 14.1 states/eV/cell.

```
5
Lattice="-2.0624 2.5517 4.4940 2.0624 -2.5517 4.4940 2.0624 2.5517 -4.4940" Properties=species:S:1:pos:R:3 pbc="T T T"
Pu 0.0000 0.0000 1.8111
Pu 0.0000 0.0000 7.1769
Cu 2.0624 1.2361 0.0000
Cu 0.0000 1.3156 4.4940
Si 0.0000 2.5517 0.0000
```



(6)
Sr3TlAg3 | PBE-GGA | relaxed

Output
The value obtained for the formation energy is -295.7 meV/atom. For the density of states at the Fermi level, the calculation gives 7.6 states/eV/cell.

```
14
Lattice="6.2124 -2.3250 0.0000 6.2124 2.3250 0.0000 -5.2986 0.0000 15.1414" Properties=species:S:1:pos:R:3 pbc="T T T"
Sr -1.7314 0.0000 5.7805
Sr -3.5601 0.0000 13.9935
Sr 1.7586 0.0000 3.4664
Sr 5.3677 0.0000 11.6750
Sr 10.6864 0.0000 1.1479
Sr 8.8577 0.0000 9.3609
Tl 0.0855 0.0000 9.0933
Tl 7.0408 0.0000 6.0480
Ag 2.2936 0.0000 6.9356
Ag 0.0421 0.0000 13.9768
Ag 1.8044 0.0000 11.6865
Ag 5.3219 0.0000 3.4549
Ag 7.0842 0.0000 1.1645
Ag 4.8326 0.0000 8.2058
```